[1]
This record from the Alexandria database describes Ac4CeHg5 after structural relaxation. The functional is PBE-GGA.

```
10
Lattice="-1.838 -1.462 -3.252 3.270 0.766 -2.193 7.082 -18.228 4.192" Properties=species:S:1:pos:R:3 pbc="T T T"
Ac 1.364 -3.511 0.807
Ac 2.814 -7.244 1.666
Ac 4.268 -10.984 2.526
Ac 5.718 -14.717 3.384
Ce 0.000 0.000 0.000
Hg 1.345 -1.966 -2.350
Hg 2.809 -5.735 -1.484
Hg 4.257 -9.462 -0.627
Hg 5.705 -13.188 0.230
Hg 7.169 -16.957 1.097
```

As for the symmetry: P4/mmm, No. 123. For the raw total energy, the calculation gives -28.18 eV for the cell shown. The total magnetization comes out at 2.515 μB per formula unit.

[2]
This record from the Alexandria database describes CaFeSi3Ni after structural relaxation. The functional is PBE-GGA.

```
12
Lattice="5.679 0.000 0.000 0.000 6.016 0.000 0.000 -3.008 5.935" Properties=species:S:1:pos:R:3 pbc="T T T"
Ca 4.259 0.000 2.884
Ca 1.420 3.008 3.051
Fe 1.420 0.000 0.369
Fe 4.259 3.008 5.566
Si 1.420 0.000 2.450
Si 0.000 1.768 0.000
Si 2.840 4.249 0.000
Si 2.840 1.768 0.000
Si 0.000 4.249 0.000
Si 4.259 3.008 3.485
Ni 1.420 0.000 4.577
Ni 4.259 3.008 1.358
```

As for the symmetry: Cmcm, No. 63. For the raw total energy, the calculation gives -68.22 eV for the cell shown. The total magnetization comes out at 0.416 μB per formula unit.

[3]
This record from the Alexandria database describes RbMg2TaSn after structural relaxation. The functional is PBE-GGA.

```
5
Lattice="5.416 0.000 0.000 0.000 6.547 0.000 0.000 0.000 5.416" Properties=species:S:1:pos:R:3 pbc="T T T"
Mg 0.000 0.000 2.708
Mg 2.708 0.000 0.000
Sn 0.000 0.000 0.000
Rb 0.000 3.274 0.000
Ta 2.708 3.274 2.708
```

As for the symmetry: P4/mmm, No. 123. For the raw total energy, the calculation gives -12.96 eV for the cell shown. The total magnetization comes out at 3.958 μB per formula unit.

[4]
This record from the Alexandria database describes KLaO2 after structural relaxation. The functional is PBE-GGA.

```
4
Lattice="3.704 0.000 0.000 1.852 3.208 0.000 1.852 1.069 6.486" Properties=species:S:1:pos:R:3 pbc="T T T"
K 3.704 2.139 3.331
La 5.556 3.208 6.477
O 1.852 1.069 5.227
O 1.852 1.069 1.181
```

As for the symmetry: R3m, No. 160. For the raw total energy, the calculation gives -26.41 eV for the cell shown. The total magnetization comes out at 0.000 μB per formula unit.

[5]
This record from the Alexandria database describes Cs2K2Bi3 after structural relaxation. The functional is PBE-GGA.

```
7
Lattice="5.818 0.000 0.000 -2.909 7.662 -0.150 0.000 -4.228 7.616" Properties=species:S:1:pos:R:3 pbc="T T T"
Cs 2.909 4.709 1.484
Cs 0.000 -1.276 5.983
K 2.909 2.304 5.368
K 0.000 1.130 2.098
Bi 2.909 0.000 0.000
Bi 2.909 -0.704 3.253
Bi 0.000 4.138 4.213
```

As for the symmetry: C2/m, No. 12. For the raw total energy, the calculation gives -17.93 eV for the cell shown. The total magnetization comes out at 0.000 μB per formula unit.

[6]
This record from the Alexandria database describes LaZnHgCl2 after structural relaxation. The functional is PBE-GGA.

```
5
Lattice="4.928 0.000 0.000 0.000 4.928 0.000 0.000 0.000 5.998" Properties=species:S:1:pos:R:3 pbc="T T T"
Zn 0.000 0.000 0.000
Cl 0.000 2.464 0.000
Cl 2.464 0.000 0.000
Hg 2.464 2.464 2.999
La 0.000 0.000 2.999
```

As for the symmetry: P4/mmm, No. 123. For the raw total energy, the calculation gives -12.27 eV for the cell shown. The total magnetization comes out at 0.000 μB per formula unit.

[7]
This record from the Alexandria database describes ThN4F8 after structural relaxation. The functional is PBE-GGA.

```
26
Lattice="7.703 0.084 0.026 -1.793 8.077 0.022 -0.133 -1.342 8.882" Properties=species:S:1:pos:R:3 pbc="T T T"
Th 0.134 7.803 0.300
Th 5.643 -0.983 8.630
N 3.074 3.892 1.751
N 2.704 2.928 7.178
N -0.266 4.251 1.821
N 6.043 2.568 7.109
N 1.116 5.749 5.154
N 4.661 1.070 3.775
N 5.417 5.881 4.190
N 0.360 0.939 4.740
F 1.673 2.218 7.661
F 4.104 4.602 1.268
F 1.886 0.836 2.074
F 3.892 5.984 6.856
F 0.208 5.500 2.101
F 5.569 1.320 6.828
F 5.615 7.230 0.915
F 0.162 -0.411 8.015
F 1.569 0.474 5.063
F 4.209 6.346 3.866
F 5.786 2.069 0.993
F -0.009 4.751 7.936
F 2.365 7.190 0.896
F 3.412 -0.370 8.034
F 1.230 4.448 4.871
F 4.547 2.372 4.059
```

As for the symmetry: P-1, No. 2. For the raw total energy, the calculation gives -132.89 eV for the cell shown. The total magnetization comes out at 8.000 μB per formula unit.